The following is a PBE calculation of an optimized crystal structure of Tb16Pm6Th7, from the Alexandria database.

Structure (extended XYZ):
```
29
Lattice="0.0000 7.9958 7.9958 7.9958 0.0000 7.9958 7.9958 7.9958 0.0000" Properties=species:S:1:pos:R:3 pbc="T T T"
Tb 10.4580 5.5335 5.5335
Tb 2.0698 2.0698 2.0698
Tb 5.9260 5.9260 2.0698
Tb 5.9260 2.0698 5.9260
Tb 5.5335 5.5335 5.5335
Tb 10.4580 10.4580 5.5335
Tb 10.4580 5.5335 10.4580
Tb 13.9217 10.0655 10.0655
Tb 2.0698 5.9260 5.9260
Tb 5.5335 10.4580 5.5335
Tb 5.5335 5.5335 10.4580
Tb 10.4580 10.4580 10.4580
Tb 10.0655 13.9217 10.0655
Tb 10.0655 10.0655 13.9217
Tb 13.9217 13.9217 13.9217
Tb 5.5335 10.4580 10.4580
Pm 7.9958 7.9958 4.1180
Pm 7.9958 4.1180 7.9958
Pm 11.8735 7.9958 7.9958
Pm 4.1180 7.9958 7.9958
Pm 7.9958 11.8735 7.9958
Pm 7.9958 7.9958 11.8735
Th 0.0000 0.0000 0.0000
Th 3.9979 3.9979 0.0000
Th 3.9979 0.0000 3.9979
Th 7.9958 3.9979 3.9979
Th 0.0000 3.9979 3.9979
Th 3.9979 7.9958 3.9979
Th 3.9979 3.9979 7.9958
```

## Properties
Crystal system: cubic
Total moment, μB per cell: 0.00
DOS(E_F), states/eV per atom: 1.718
Calculated total energy, eV per cell: -147.0
Formation energy, eV/atom: 0.26


The following is a PBE calculation of an optimized crystal structure of Tb2PmTh2, from the Alexandria database.

Structure (extended XYZ):
```
5
Lattice="3.5800 0.0000 0.0000 -1.7900 3.1004 0.0000 0.0000 0.0000 14.6936" Properties=species:S:1:pos:R:3 pbc="T T T"
Tb 0.0000 2.0669 4.3994
Tb 1.7900 1.0335 10.2942
Pm 0.0000 0.0000 7.3468
Th 0.0000 2.0669 13.2480
Th 1.7900 1.0335 1.4456
```

## Properties
Crystal system: trigonal
Total moment, μB per cell: 0.00
DOS(E_F), states/eV per atom: 1.365
Excess energy over the best structure of this formula in the dataset, meV per atom: 18.9
Calculated total energy, eV per cell: -28.7
Formation energy, eV/atom: 0.03


The following is a PBE calculation of an optimized crystal structure of Tb5Pm4Th3, from the Alexandria database.

Structure (extended XYZ):
```
12
Lattice="8.7503 -2.8954 0.0000 8.7503 2.8954 0.0000 -3.7498 0.0000 7.9889" Properties=species:S:1:pos:R:3 pbc="T T T"
Tb 0.0000 0.0000 0.0000
Tb 5.3786 0.0000 0.7632
Tb 5.0699 0.0000 4.3662
Tb 8.6810 0.0000 3.6227
Tb 8.3723 0.0000 7.2257
Pm -1.7946 0.0000 5.6243
Pm 1.4948 0.0000 5.3463
Pm 12.2560 0.0000 2.6426
Pm 15.5455 0.0000 2.3645
Th 2.2150 0.0000 2.0592
Th 8.7503 0.0000 0.0000
Th 11.5359 0.0000 5.9297
```

## Properties
Crystal system: monoclinic
Total moment, μB per cell: 0.00
DOS(E_F), states/eV per atom: 1.611
Calculated total energy, eV per cell: -60.2
Formation energy, eV/atom: 0.35


What is the total moment in the first record? 0.00 μB per cell